First-principles (GGA-PBE) data for an optimized crystal structure of DyMgTe2AuS, as listed in OQMD via LeMat-Bulk.

Computed properties:
Final energy = -4.13 eV/atom

Unit cell a=4.092 b=14.144 c=10.410 alpha=90.00 beta=90.00 gamma=90.00
Space group Cmcm (No. 63)
Asymmetric unit:
Dy (0.000, 0.000, 0.000) (multiplicity 4)
Mg (0.000, 0.281, 0.250) (multiplicity 4)
Te (0.000, 0.342, 0.566) (multiplicity 8)
Au (0.000, 0.481, 0.750) (multiplicity 4)
S (0.000, 0.098, 0.750) (multiplicity 4)

***

First-principles (GGA-PBE) data for an optimized crystal structure of DyMgTe2AuSe, as listed in OQMD via LeMat-Bulk.

Computed properties:
Final energy = -4.02 eV/atom

Unit cell a=4.058 b=14.227 c=10.636 alpha=90.00 beta=90.00 gamma=90.00
Space group Cmcm (No. 63)
Asymmetric unit:
Dy (0.000, 0.000, 0.000) (multiplicity 4)
Mg (0.000, 0.253, 0.250) (multiplicity 4)
Te (0.000, 0.344, 0.567) (multiplicity 8)
Au (0.000, 0.480, 0.750) (multiplicity 4)
Se (0.000, 0.106, 0.750) (multiplicity 4)

***

First-principles (GGA-PBE) data for an optimized crystal structure of Dy3Mg3TlAu2, as listed in OQMD via LeMat-Bulk.

Computed properties:
Final energy = -3.56 eV/atom

Unit cell a=7.6204 b=7.6204 c=4.2449 alpha=90.00 beta=90.00 gamma=120.00
Space group P-62m (No. 189)
Asymmetric unit:
Dy (0.0000, 0.4204, 0.0000) (multiplicity 3)
Mg (0.0000, 0.7424, 0.5000) (multiplicity 3)
Tl (0.0000, 0.0000, 0.0000) (multiplicity 1)
Au (0.3333, 0.6667, 0.5000) (multiplicity 2)

***

First-principles (GGA-PBE) data for an optimized crystal structure of Dy3Mg3Zn2Au, as listed in OQMD via LeMat-Bulk.

Computed properties:
Final energy = -3.10 eV/atom

Unit cell a=7.5147 b=7.5147 c=4.1912 alpha=90.00 beta=90.00 gamma=120.00
Space group P-62m (No. 189)
Asymmetric unit:
Dy (0.0000, 0.4125, 0.0000) (multiplicity 3)
Mg (0.0000, 0.7540, 0.5000) (multiplicity 3)
Zn (0.3333, 0.6667, 0.5000) (multiplicity 2)
Au (0.0000, 0.0000, 0.0000) (multiplicity 1)

***

First-principles (GGA-PBE) data for an optimized crystal structure of Dy3Mg3ZnAu2, as listed in OQMD via LeMat-Bulk.

Computed properties:
Final energy = -3.47 eV/atom

Unit cell a=7.6267 b=7.6267 c=4.0623 alpha=90.00 beta=90.00 gamma=120.00
Space group P-62m (No. 189)
Asymmetric unit:
Dy (0.0000, 0.4142, 0.0000) (multiplicity 3)
Mg (0.0000, 0.7543, 0.5000) (multiplicity 3)
Zn (0.0000, 0.0000, 0.0000) (multiplicity 1)
Au (0.3333, 0.6667, 0.5000) (multiplicity 2)

***

First-principles (GGA-PBE) data for an optimized crystal structure of DyMgZnAu, as listed in OQMD via LeMat-Bulk.

Computed properties:
Final energy = -3.24 eV/atom

Unit cell a=6.874 b=6.874 c=6.874 alpha=90.00 beta=90.00 gamma=90.00
Space group F-43m (No. 216)
Asymmetric unit:
Dy (0.000, 0.000, 0.000) (multiplicity 4)
Mg (0.000, 0.000, 0.500) (multiplicity 4)
Zn (0.250, 0.250, 0.750) (multiplicity 4)
Au (0.250, 0.250, 0.250) (multiplicity 4)

***

First-principles (GGA-PBE) data for an optimized crystal structure of DyMg2ZrAu4, as listed in OQMD via LeMat-Bulk.

Computed properties:
Final energy = -4.36 eV/atom

Unit cell a=4.827 b=4.827 c=6.806 alpha=90.00 beta=90.00 gamma=90.00
Space group P4/mmm (No. 123)
Asymmetric unit:
Dy (0.000, 0.000, 0.000) (multiplicity 1)
Mg (0.000, 0.000, 0.500) (multiplicity 1)
Mg (0.500, 0.500, 0.000) (multiplicity 1)
Zr (0.500, 0.500, 0.500) (multiplicity 1)
Au (0.000, 0.500, 0.263) (multiplicity 4)

***

First-principles (GGA-PBE) data for an optimized crystal structure of DyMoAu, as listed in OQMD via LeMat-Bulk.

Computed properties:
E_form = 630.8 meV/atom

Unit cell a=6.575 b=6.575 c=6.575 alpha=90.00 beta=90.00 gamma=90.00
Space group F-43m (No. 216)
Asymmetric unit:
Dy (0.000, 0.000, 0.000) (multiplicity 4)
Mo (0.250, 0.250, 0.750) (multiplicity 4)
Au (0.000, 0.000, 0.500) (multiplicity 4)

***

Number 1: size of the total moment 0.02 μB per cell. Number 2: size of the total moment 0.01 μB per cell. Number 3: size of the total moment 0.02 μB per cell. Number 4: size of the total moment 0.09 μB per cell. Number 5: size of the total moment 0.02 μB per cell. Number 6: size of the total moment 0.01 μB per cell. Number 7: size of the total moment 0.03 μB per cell. Number 8: size of the total moment 11.35 μB per cell.